(1)
Computed, not measured: a relaxed Sr4Pd2N crystal at the PBE level of DFT.

Spin magnetization, μB/f.u.: 0.0
Fermi-level density of states, states/eV/f.u.: 3.81
Relative energy among the computed polymorphs, meV/atom: 0
Total DFT energy (no corrections), eV/cell: -57.444
E_form (uncorrected), eV/atom: -0.469

Cell lengths 5.110, 5.110, 15.635 Å; angles 90.00, 90.00, 90.00 degrees
Fractional coordinates of all 14 atoms:
Sr (0.000, 0.000, 0.168)
Sr (0.000, 0.000, 0.832)
Sr (0.000, 0.500, 0.000)
Sr (0.000, 0.500, 0.500)
Sr (0.500, 0.000, 0.000)
Sr (0.500, 0.000, 0.500)
Sr (0.500, 0.500, 0.332)
Sr (0.500, 0.500, 0.668)
Pd (0.000, 0.000, 0.366)
Pd (0.000, 0.000, 0.634)
Pd (0.500, 0.500, 0.134)
Pd (0.500, 0.500, 0.866)
N (0.000, 0.000, 0.000)
N (0.500, 0.500, 0.500)

(2)
Computed, not measured: a relaxed SrTh2PdN4 crystal at the PBE level of DFT.

Spin magnetization, μB/f.u.: 0.0
Fermi-level density of states, states/eV/f.u.: 5.49
Total DFT energy (no corrections), eV/cell: -124.616
E_form (uncorrected), eV/atom: -0.912

Cell lengths 6.367, 6.367, 12.426 Å; angles 90.00, 90.00, 146.65 degrees
Fractional coordinates of all 16 atoms:
Sr (0.105, 0.895, 0.750)
Sr (0.895, 0.105, 0.250)
Th (0.369, 0.631, 0.554)
Th (0.369, 0.631, 0.946)
Th (0.631, 0.369, 0.054)
Th (0.631, 0.369, 0.446)
Pd (0.160, 0.840, 0.250)
Pd (0.840, 0.160, 0.750)
N (0.000, 0.000, 0.000)
N (0.000, 0.000, 0.500)
N (0.260, 0.740, 0.102)
N (0.260, 0.740, 0.398)
N (0.437, 0.563, 0.750)
N (0.563, 0.437, 0.250)
N (0.740, 0.260, 0.602)
N (0.740, 0.260, 0.898)

(3)
Computed, not measured: a relaxed SrY2PdN crystal at the PBE level of DFT.

Spin magnetization, μB/f.u.: 0.0
Fermi-level density of states, states/eV/f.u.: 2.93
Total DFT energy (no corrections), eV/cell: -31.801
E_form (uncorrected), eV/atom: -0.735

Cell lengths 4.692, 4.692, 5.326 Å; angles 90.00, 90.00, 90.00 degrees
Fractional coordinates of all 5 atoms:
Sr (0.000, 0.000, 0.000)
Y (0.000, 0.500, 0.500)
Y (0.500, 0.000, 0.500)
Pd (0.500, 0.500, 0.000)
N (0.000, 0.000, 0.500)

(4)
Computed, not measured: a relaxed TaPdN crystal at the PBE level of DFT.

Spin magnetization, μB/f.u.: 0.0
Fermi-level density of states, states/eV/f.u.: 0.70
Total DFT energy (no corrections), eV/cell: -103.401
E_form (uncorrected), eV/atom: -0.160

Cell lengths 3.110, 18.453, 4.307 Å; angles 90.00, 90.00, 90.00 degrees
Fractional coordinates of all 12 atoms:
Ta (0.000, 0.140, 0.250)
Ta (0.000, 0.860, 0.750)
Ta (0.500, 0.360, 0.750)
Ta (0.500, 0.640, 0.250)
Pd (0.000, 0.224, 0.750)
Pd (0.000, 0.776, 0.250)
Pd (0.500, 0.276, 0.250)
Pd (0.500, 0.724, 0.750)
N (0.000, 0.418, 0.750)
N (0.000, 0.582, 0.250)
N (0.500, 0.082, 0.250)
N (0.500, 0.918, 0.750)

(5)
Computed, not measured: a relaxed Ta2PdN crystal at the PBE level of DFT.

Spin magnetization, μB/f.u.: 0.0
Fermi-level density of states, states/eV/f.u.: 1.87
Relative energy among the computed polymorphs, meV/atom: 0
Total DFT energy (no corrections), eV/cell: -118.993
E_form (uncorrected), eV/atom: -0.610

Cell lengths 3.089, 3.089, 20.589 Å; angles 90.00, 90.00, 120.00 degrees
Fractional coordinates of all 12 atoms:
Ta (0.000, 0.000, 0.000)
Ta (0.000, 0.000, 0.215)
Ta (0.333, 0.667, 0.667)
Ta (0.333, 0.667, 0.881)
Ta (0.667, 0.333, 0.333)
Ta (0.667, 0.333, 0.548)
Pd (0.000, 0.000, 0.440)
Pd (0.333, 0.667, 0.106)
Pd (0.667, 0.333, 0.773)
N (0.000, 0.000, 0.608)
N (0.333, 0.667, 0.274)
N (0.667, 0.333, 0.941)

(6)
Computed, not measured: a relaxed Ta3PdN crystal at the PBE level of DFT.

Spin magnetization, μB/f.u.: 0.0
Fermi-level density of states, states/eV/f.u.: 2.68
Total DFT energy (no corrections), eV/cell: -51.691
E_form (uncorrected), eV/atom: -0.523

Cell lengths 4.231, 4.231, 4.231 Å; angles 90.00, 90.00, 90.00 degrees
Fractional coordinates of all 5 atoms:
Ta (0.000, 0.000, 0.500)
Ta (0.000, 0.500, 0.000)
Ta (0.500, 0.000, 0.000)
Pd (0.500, 0.500, 0.500)
N (0.000, 0.000, 0.000)

(7)
Computed, not measured: a relaxed Ta2PdN crystal at the PBE level of DFT.

Spin magnetization, μB/f.u.: 0.0
Fermi-level density of states, states/eV/f.u.: 3.09
Relative energy among the computed polymorphs, meV/atom: 472
Total DFT energy (no corrections), eV/cell: -151.101
E_form (uncorrected), eV/atom: -0.138

Cell lengths 5.151, 5.151, 10.702 Å; angles 90.00, 90.00, 90.00 degrees
Fractional coordinates of all 16 atoms:
Ta (0.155, 0.250, 0.125)
Ta (0.250, 0.655, 0.375)
Ta (0.250, 0.845, 0.875)
Ta (0.345, 0.250, 0.625)
Ta (0.655, 0.750, 0.625)
Ta (0.750, 0.155, 0.875)
Ta (0.750, 0.345, 0.375)
Ta (0.845, 0.750, 0.125)
Pd (0.000, 0.000, 0.500)
Pd (0.000, 0.500, 0.750)
Pd (0.500, 0.000, 0.250)
Pd (0.500, 0.500, 0.000)
N (0.000, 0.000, 0.000)
N (0.000, 0.500, 0.250)
N (0.500, 0.000, 0.750)
N (0.500, 0.500, 0.500)

(8)
Computed, not measured: a relaxed Ta2PdN crystal at the PBE level of DFT.

Spin magnetization, μB/f.u.: 0.0
Fermi-level density of states, states/eV/f.u.: 2.54
Relative energy among the computed polymorphs, meV/atom: 1129
Total DFT energy (no corrections), eV/cell: -140.591
E_form (uncorrected), eV/atom: 0.519

Cell lengths 6.143, 6.143, 6.143 Å; angles 90.00, 90.00, 90.00 degrees
Fractional coordinates of all 16 atoms:
Ta (0.250, 0.250, 0.250)
Ta (0.250, 0.250, 0.750)
Ta (0.250, 0.750, 0.250)
Ta (0.250, 0.750, 0.750)
Ta (0.750, 0.250, 0.250)
Ta (0.750, 0.250, 0.750)
Ta (0.750, 0.750, 0.250)
Ta (0.750, 0.750, 0.750)
Pd (0.000, 0.000, 0.000)
Pd (0.000, 0.500, 0.500)
Pd (0.500, 0.000, 0.500)
Pd (0.500, 0.500, 0.000)
N (0.000, 0.000, 0.500)
N (0.000, 0.500, 0.000)
N (0.500, 0.000, 0.000)
N (0.500, 0.500, 0.500)

(9)
Computed, not measured: a relaxed TaPdN3 crystal at the PBE level of DFT.

Spin magnetization, μB/f.u.: 0.0
Fermi-level density of states, states/eV/f.u.: 1.74
Total DFT energy (no corrections), eV/cell: -34.166
E_form (uncorrected), eV/atom: 1.571

Cell lengths 3.821, 3.821, 3.821 Å; angles 90.00, 90.00, 90.00 degrees
Fractional coordinates of all 5 atoms:
Ta (0.000, 0.000, 0.000)
Pd (0.500, 0.500, 0.500)
N (0.000, 0.500, 0.500)
N (0.500, 0.000, 0.500)
N (0.500, 0.500, 0.000)

(10)
Computed, not measured: a relaxed TaPdN3 crystal at the PBE level of DFT.

Spin magnetization, μB/f.u.: 0.0
Fermi-level density of states, states/eV/f.u.: 6.76
Total DFT energy (no corrections), eV/cell: -38.270
E_form (uncorrected), eV/atom: 0.750

Cell lengths 4.040, 4.040, 4.040 Å; angles 90.00, 90.00, 90.00 degrees
Fractional coordinates of all 5 atoms:
Ta (0.000, 0.000, 0.000)
Pd (0.500, 0.500, 0.500)
N (0.000, 0.000, 0.500)
N (0.000, 0.500, 0.000)
N (0.500, 0.000, 0.000)

(11)
Computed, not measured: a relaxed Ta2PdN crystal at the PBE level of DFT.

Spin magnetization, μB/f.u.: 0.0
Fermi-level density of states, states/eV/f.u.: 1.99
Relative energy among the computed polymorphs, meV/atom: 10
Total DFT energy (no corrections), eV/cell: -118.873
E_form (uncorrected), eV/atom: -0.600

Cell lengths 3.108, 3.108, 20.461 Å; angles 90.00, 90.00, 120.00 degrees
Fractional coordinates of all 12 atoms:
Ta (0.000, 0.000, 0.225)
Ta (0.000, 0.000, 0.775)
Ta (0.333, 0.667, 0.442)
Ta (0.333, 0.667, 0.892)
Ta (0.667, 0.333, 0.108)
Ta (0.667, 0.333, 0.558)
Pd (0.000, 0.000, 0.000)
Pd (0.333, 0.667, 0.667)
Pd (0.667, 0.333, 0.333)
N (0.000, 0.000, 0.500)
N (0.333, 0.667, 0.167)
N (0.667, 0.333, 0.833)

(12)
Computed, not measured: a relaxed TaTe2PdN crystal at the PBE level of DFT.

Spin magnetization, μB/f.u.: 1.6
Fermi-level density of states, states/eV/f.u.: 4.48
Relative energy among the computed polymorphs, meV/atom: 739
Total DFT energy (no corrections), eV/cell: -26.597
E_form (uncorrected), eV/atom: 1.011

Cell lengths 5.423, 5.423, 3.673 Å; angles 90.00, 90.00, 90.00 degrees
Fractional coordinates of all 5 atoms:
Ta (0.000, 0.000, 0.000)
Te (0.000, 0.500, 0.500)
Te (0.500, 0.000, 0.500)
Pd (0.500, 0.500, 0.500)
N (0.500, 0.500, 0.000)